No. 1
The following is a GGA+U calculation of crystalline Tm4Mo6O19 at its relaxed geometry, from Alexandria. Values from VASP.

The structure in Quantum ESPRESSO input format:
```
&SYSTEM
  ibrav = 0, nat = 29, ntyp = 3
/
ATOMIC_SPECIES
Tm 168.93 Tm.upf
Mo 95.94 Mo.upf
O 16.00 O.upf
CELL_PARAMETERS angstrom
-4.1334 6.5021 -1.1198
-2.6007 -5.5813 -4.7645
-0.7741 -2.3270 7.3893
ATOMIC_POSITIONS crystal
Tm 0.0000 0.0000 0.7129
Tm 0.0000 0.7129 0.0000
Tm 0.2871 0.2871 0.2871
Tm 0.7129 0.0000 0.0000
Mo 0.3575 0.5000 0.8575
Mo 0.6425 0.5000 0.1425
Mo 0.1425 0.6425 0.5000
Mo 0.8575 0.3575 0.5000
Mo 0.5000 0.8575 0.3575
Mo 0.5000 0.1425 0.6425
O 0.6830 0.0000 0.6830
O 0.3170 0.0000 0.3170
O 0.3170 0.3170 0.0000
O 0.6830 0.6830 0.0000
O 0.0000 0.6830 0.6830
O 0.0000 0.3170 0.3170
O 0.0000 0.0000 0.0000
O 0.3781 0.3341 0.6156
O 0.6219 0.2376 0.9560
O 0.7184 0.7624 0.3844
O 0.9560 0.6219 0.2376
O 0.2816 0.6659 0.0440
O 0.6156 0.3781 0.3341
O 0.0440 0.2816 0.6659
O 0.3844 0.7184 0.7624
O 0.6659 0.0440 0.2816
O 0.2376 0.9560 0.6219
O 0.3341 0.6156 0.3781
O 0.7624 0.3844 0.7184
```

As for the space group: I23. Its density of states at the Fermi level is 2.68 states/eV per cell. Its total DFT energy (no corrections) is -7.56 eV per atom.

***

No. 2
The following is a GGA+U calculation of crystalline TmMo3O9 at its relaxed geometry, from Alexandria. Values from VASP.

The structure in Quantum ESPRESSO input format:
```
&SYSTEM
  ibrav = 0, nat = 26, ntyp = 3
/
ATOMIC_SPECIES
Tm 168.93 Tm.upf
Mo 95.94 Mo.upf
O 16.00 O.upf
CELL_PARAMETERS angstrom
-4.9619 -3.8157 -4.4706
-4.2046 -6.6877 3.7575
-9.3932 3.0318 1.2204
ATOMIC_POSITIONS crystal
Tm 0.0126 0.4962 0.9984
Tm 0.4928 0.9962 0.4984
Mo 0.8059 0.5556 0.6730
Mo 0.9655 0.0556 0.1730
Mo 0.0221 0.9446 0.8229
Mo 0.2105 0.4446 0.3229
Mo 0.5510 0.2484 0.7336
Mo 0.4670 0.7484 0.2336
O 0.3213 0.2154 0.3632
O 0.1001 0.7154 0.8632
O 0.3293 0.3287 0.8870
O 0.4550 0.8287 0.3870
O 0.1947 0.0309 0.6771
O 0.0973 0.5309 0.1771
O 0.7049 0.6892 0.0875
O 0.5185 0.1892 0.5875
O 0.7897 0.9813 0.3299
O 0.8992 0.4813 0.8299
O 0.6250 0.7716 0.6473
O 0.9562 0.2716 0.1473
O 0.4007 0.5485 0.2900
O 0.7608 0.0485 0.7900
O 0.6926 0.4040 0.6629
O 0.2404 0.9040 0.1629
O 0.9106 0.0431 0.0052
O 0.0411 0.5431 0.5052
```

As for the space group: Cc. Its total DFT energy (no corrections) is -7.32 eV per atom.

***

What is the total DFT energy (no corrections) in the first record?
-7.56 eV per atom